Density functional theory data (PBE) for a geometry-optimized CaTa4Os structure.

Summary:
Space group: No. 216
Total energy in Ry per atom: -0.7047
Size of the total moment in μB/atom: 0.00
Energy relative to the elements in eV per atom: 0.52

Cell: 5.4850 5.4850 5.4850 Å, 60.00 60.00 60.00°
With the nearest neighbours (Å) after each atom.
Positions (direct):
Os1 0.0000 0.0000 0.0000  12 Ta 3.22, 4 Ca 3.36
Ta1 0.3753 0.3753 0.8741  6 Ta 2.74-2.75
Ca1 0.7500 0.7500 0.7500  12 Ta 3.22, 4 Os 3.36
Ta2 0.3753 0.8741 0.3753  6 Ta 2.74-2.75
Ta3 0.3753 0.3753 0.3753  6 Ta 2.74-2.75
Ta4 0.8741 0.3753 0.3753  6 Ta 2.74-2.75